No. 1
Computed, not measured: a relaxed structure of Hg3Cl at the PBE level of DFT. Values from VASP.

Quantum ESPRESSO input file:
```
&SYSTEM
  ibrav = 0, nat = 4, ntyp = 2
/
ATOMIC_SPECIES
Hg 200.59 Hg.upf
Cl 35.45 Cl.upf
CELL_PARAMETERS angstrom
5.316 0.000 0.000
0.000 4.229 0.000
-1.589 0.000 5.132
ATOMIC_POSITIONS crystal
Hg 0.000 0.000 0.000
Hg 0.242 0.500 0.757
Hg 0.758 0.500 0.243
Cl 0.500 0.000 0.500
```

Magnetic moment ... 0.00 Bohr magnetons per cell
Formation energy (no corrections) ... -0.204 eV per atom
E_tot ... -3.57 eV per cell
Mass density ... 9.2 g/cm³
Energy above the most stable polymorph in this dataset ... 0.04 eV per formula unit

***

No. 2
Computed, not measured: a relaxed structure of HgCl at the PBE level of DFT. Values from VASP.

Quantum ESPRESSO input file:
```
&SYSTEM
  ibrav = 0, nat = 8, ntyp = 2
/
ATOMIC_SPECIES
Hg 200.59 Hg.upf
Cl 35.45 Cl.upf
CELL_PARAMETERS angstrom
7.176 0.000 0.000
0.000 7.176 0.000
0.000 0.000 5.200
ATOMIC_POSITIONS crystal
Hg 0.217 0.217 0.000
Hg 0.283 0.717 0.500
Hg 0.717 0.283 0.500
Hg 0.783 0.783 0.000
Cl 0.216 0.216 0.500
Cl 0.284 0.716 0.000
Cl 0.716 0.284 0.000
Cl 0.784 0.784 0.500
```

Magnetic moment ... 0.00 Bohr magnetons per cell
Formation energy (no corrections) ... -0.307 eV per atom
E_tot ... -11.05 eV per cell
Mass density ... 5.9 g/cm³
Energy above the most stable polymorph in this dataset ... 0.47 eV per formula unit

***

No. 3
Computed, not measured: a relaxed structure of HgCl3 at the PBE level of DFT. Values from VASP.

Quantum ESPRESSO input file:
```
&SYSTEM
  ibrav = 0, nat = 4, ntyp = 2
/
ATOMIC_SPECIES
Hg 200.59 Hg.upf
Cl 35.45 Cl.upf
CELL_PARAMETERS angstrom
3.727 0.000 0.000
-1.863 3.227 0.000
0.000 0.000 9.773
ATOMIC_POSITIONS crystal
Hg 0.000 0.000 0.000
Cl 0.000 0.000 0.500
Cl 0.333 0.667 0.172
Cl 0.333 0.667 0.828
```

Magnetic moment ... 1.06 Bohr magnetons per cell
Formation energy (no corrections) ... -0.043 eV per atom
E_tot ... -6.02 eV per cell
Mass density ... 4.3 g/cm³

***

No. 4
Computed, not measured: a relaxed structure of HgCl at the PBE level of DFT. Values from VASP.

Quantum ESPRESSO input file:
```
&SYSTEM
  ibrav = 0, nat = 12, ntyp = 2
/
ATOMIC_SPECIES
Hg 200.59 Hg.upf
Cl 35.45 Cl.upf
CELL_PARAMETERS angstrom
8.143 0.000 0.000
0.000 8.143 0.000
0.000 0.000 8.143
ATOMIC_POSITIONS crystal
Hg 0.000 0.250 0.500
Hg 0.000 0.750 0.500
Hg 0.250 0.500 0.000
Hg 0.500 0.000 0.250
Hg 0.500 0.000 0.750
Hg 0.750 0.500 0.000
Cl 0.000 0.500 0.250
Cl 0.000 0.500 0.750
Cl 0.250 0.000 0.500
Cl 0.500 0.250 0.000
Cl 0.500 0.750 0.000
Cl 0.750 0.000 0.500
```

Magnetic moment ... 0.00 Bohr magnetons per cell
Formation energy (no corrections) ... -0.139 eV per atom
E_tot ... -14.55 eV per cell
Mass density ... 4.4 g/cm³
Energy above the most stable polymorph in this dataset ... 0.81 eV per formula unit

***

No. 5
Computed, not measured: a relaxed structure of HgCl3 at the PBE level of DFT. Values from VASP.

Quantum ESPRESSO input file:
```
&SYSTEM
  ibrav = 0, nat = 8, ntyp = 2
/
ATOMIC_SPECIES
Hg 200.59 Hg.upf
Cl 35.45 Cl.upf
CELL_PARAMETERS angstrom
-4.629 4.629 2.756
4.629 -4.629 2.756
4.629 4.629 -2.756
ATOMIC_POSITIONS crystal
Hg 0.000 0.000 0.000
Hg 0.750 0.250 0.500
Cl 0.250 0.750 0.500
Cl 0.375 0.240 0.365
Cl 0.500 0.500 0.000
Cl 0.760 0.125 0.135
Cl 0.875 0.010 0.635
Cl 0.990 0.625 0.865
```

Magnetic moment ... 2.00 Bohr magnetons per cell
Formation energy (no corrections) ... -0.117 eV per atom
E_tot ... -12.62 eV per cell
Mass density ... 4.3 g/cm³

***

No. 6
Computed, not measured: a relaxed structure of HgCl3 at the PBE level of DFT. Values from VASP.

Quantum ESPRESSO input file:
```
&SYSTEM
  ibrav = 0, nat = 4, ntyp = 2
/
ATOMIC_SPECIES
Hg 200.59 Hg.upf
Cl 35.45 Cl.upf
CELL_PARAMETERS angstrom
-2.906 2.906 2.906
2.906 -2.906 2.906
2.906 2.906 -2.906
ATOMIC_POSITIONS crystal
Hg 0.000 0.000 0.000
Cl 0.000 0.500 0.500
Cl 0.500 0.000 0.500
Cl 0.500 0.500 0.000
```

Magnetic moment ... 0.26 Bohr magnetons per cell
Formation energy (no corrections) ... 0.118 eV per atom
E_tot ... -5.37 eV per cell
Mass density ... 5.2 g/cm³

***

No. 7
Computed, not measured: a relaxed structure of Hg2Cl13 at the PBE level of DFT. Values from VASP.

Quantum ESPRESSO input file:
```
&SYSTEM
  ibrav = 0, nat = 15, ntyp = 2
/
ATOMIC_SPECIES
Hg 200.59 Hg.upf
Cl 35.45 Cl.upf
CELL_PARAMETERS angstrom
6.577 0.000 0.000
1.301 9.618 0.000
0.343 2.275 9.445
ATOMIC_POSITIONS crystal
Hg 0.186 0.316 0.109
Hg 0.814 0.684 0.891
Cl 0.125 0.997 0.861
Cl 0.137 0.761 0.345
Cl 0.147 0.413 0.864
Cl 0.233 0.196 0.343
Cl 0.317 0.606 0.478
Cl 0.386 0.926 0.765
Cl 0.500 0.500 0.000
Cl 0.614 0.074 0.235
Cl 0.683 0.394 0.522
Cl 0.767 0.804 0.657
Cl 0.853 0.587 0.136
Cl 0.863 0.239 0.655
Cl 0.875 0.003 0.139
```

Magnetic moment ... 1.09 Bohr magnetons per cell
Formation energy (no corrections) ... -0.159 eV per atom
E_tot ... -27.00 eV per cell
Mass density ... 2.4 g/cm³

***

No. 8
Computed, not measured: a relaxed structure of HgCl at the PBE level of DFT. Values from VASP.

Quantum ESPRESSO input file:
```
&SYSTEM
  ibrav = 0, nat = 4, ntyp = 2
/
ATOMIC_SPECIES
Hg 200.59 Hg.upf
Cl 35.45 Cl.upf
CELL_PARAMETERS angstrom
2.758 -5.237 0.000
2.758 5.237 0.000
0.000 0.000 3.663
ATOMIC_POSITIONS crystal
Hg 0.103 0.897 0.750
Hg 0.897 0.103 0.250
Cl 0.340 0.660 0.750
Cl 0.660 0.340 0.250
```

Magnetic moment ... 0.00 Bohr magnetons per cell
Formation energy (no corrections) ... -0.379 eV per atom
E_tot ... -5.81 eV per cell
Mass density ... 7.4 g/cm³
Energy above the most stable polymorph in this dataset ... 0.33 eV per formula unit